Density functional theory data (PBE) for a relaxed Rb2CrCl4 crystal.

Unit cell a=6.3050 b=6.3050 c=25.8831 alpha=90.00 beta=90.00 gamma=90.00
Last column: nearest neighbours and their distance in Å.
Space group I4/mmm (No. 139)
Asymmetric unit:
Rb1 0.0000 0.0000 0.2224  5 Cl 3.23-3.57
Cr1 0.0000 0.0000 0.0000  2 Cl 2.18
Cl1 0.0000 0.0000 0.0844  1 Cr 2.18
Cl2 0.0000 0.5000 0.2500  4 Rb 3.23

Values from the calculation:
Density of states at the Fermi level (states/eV/atom): 2.5862
Calculated density (g/cm³): 1.18
E above lowest polymorph (eV per atom): 0.408
Formation energy without anion corrections (eV per atom): -1.153
Raw total energy (eV for the cell shown): -54.0

=====

Density functional theory data (PBE) for a relaxed Rb2CrCl4 crystal.

Unit cell a=16.0193 b=7.2443 c=7.2415 alpha=90.00 beta=90.00 gamma=90.00
Last column: nearest neighbours and their distance in Å.
Space group Cmce (No. 64)
Asymmetric unit:
Rb1 0.1398 0.0000 0.0000  9 Cl 3.33-3.63
Cr1 0.0000 0.0000 0.5000  6 Cl 2.43-2.69
Cl1 0.0000 0.2372 0.2627  2 Cr 2.43-2.69
Cl2 0.1524 0.0000 0.5000  1 Cr 2.44

Values from the calculation:
Density of states at the Fermi level (states/eV/atom): 0.0110
Calculated density (g/cm³): 2.88
E above lowest polymorph (eV per atom): 0.001
Formation energy without anion corrections (eV per atom): -1.560
Raw total energy (eV for the cell shown): -119.5

=====

Density functional theory data (PBE) for a relaxed Rb3Cr2Cl7 crystal.

Unit cell a=5.0754 b=26.2525 c=4.9807 alpha=90.00 beta=90.00 gamma=90.00
Last column: nearest neighbours and their distance in Å.
Space group Cmmm (No. 65)
Asymmetric unit:
Rb1 0.0000 0.0000 0.0000  12 Cl 3.50-3.56
Rb2 0.0000 0.1799 0.0000  8 Cl 3.36-3.56
Cr1 0.0000 0.4042 0.5000  6 Cl 2.46-2.54
Cl1 0.0000 0.0938 0.5000  2 Cr 2.54
Cl2 0.0000 0.3106 0.5000  1 Cr 2.46
Cl3 0.0000 0.4058 0.0000  2 Cr 2.49
Cl4 0.0000 0.5000 0.5000  2 Cr 2.52

Values from the calculation:
Density of states at the Fermi level (states/eV/atom): 0.1466
Calculated density (g/cm³): 3.05
E above lowest polymorph (eV per atom): 0.019
Formation energy without anion corrections (eV per atom): -1.468
Raw total energy (eV for the cell shown): -105.4